(1)
Ag4SeBr3 | PBE | relaxed

Computed properties:
The offset from the most stable computed form comes out at 0 meV/atom. The density of states at the Fermi level is 12.731 states/eV/cell. The value obtained for the formation energy from raw total energies is -0.18 eV per atom. As for the space-group type: No. 59. For the total magnetization, the calculation gives 0.0 μB per cell.

Cell and atoms, written as POSCAR:
```
Ag4SeBr3
1.0
5.726 0.000 0.000
0.000 9.672 0.000
0.000 0.000 8.207
Ag Se Br
8 2 6
direct
0.250 0.020 0.176
0.250 0.250 0.657
0.250 0.480 0.176
0.250 0.750 0.652
0.750 0.250 0.348
0.750 0.520 0.824
0.750 0.750 0.343
0.750 0.980 0.824
0.250 0.250 0.339
0.750 0.750 0.661
0.250 0.504 0.833
0.250 0.750 0.310
0.250 0.996 0.833
0.750 0.004 0.167
0.750 0.250 0.690
0.750 0.496 0.167
```

(2)
Ag2SeBr | PBE | relaxed

Computed properties:
The offset from the most stable computed form comes out at 157 meV/atom. The density of states at the Fermi level is 4.107 states/eV/cell. The value obtained for the formation energy from raw total energies is 0.01 eV per atom. As for the space-group type: No. 119. For the total magnetization, the calculation gives 0.0 μB per cell.

Cell and atoms, written as POSCAR:
```
Ag2SeBr
1.0
-1.899 1.899 7.747
1.899 -1.899 7.747
1.899 1.899 -7.747
Ag Se Br
2 1 1
direct
0.000 0.000 0.000
0.750 0.250 0.500
0.500 0.500 0.000
0.250 0.750 0.500
```

(3)
AgSeBr | PBE | relaxed

Computed properties:
The offset from the most stable computed form comes out at 236 meV/atom. The density of states at the Fermi level is 3.113 states/eV/cell. The value obtained for the formation energy from raw total energies is 0.09 eV per atom. As for the space-group type: No. 156. For the total magnetization, the calculation gives 0.0 μB per cell.

Cell and atoms, written as POSCAR:
```
AgSeBr
1.0
3.957 0.000 0.000
-1.979 3.427 0.000
0.000 0.000 5.355
Ag Se Br
1 1 1
direct
0.000 0.000 0.000
0.333 0.667 0.749
0.667 0.333 0.312
```

(4)
AgSe2Br2 | PBE | relaxed

Computed properties:
The offset from the most stable computed form comes out at 0 meV/atom. The density of states at the Fermi level is 6.138 states/eV/cell. The value obtained for the formation energy from raw total energies is 0.17 eV per atom. As for the space-group type: No. 127. For the total magnetization, the calculation gives 0.0 μB per cell.

Cell and atoms, written as POSCAR:
```
AgSe2Br2
1.0
6.821 0.000 0.000
0.000 6.821 0.000
0.000 0.000 5.780
Ag Se Br
2 4 4
direct
0.000 0.000 0.000
0.500 0.500 0.000
0.116 0.384 0.000
0.384 0.884 0.000
0.616 0.116 0.000
0.884 0.616 0.000
0.244 0.256 0.500
0.256 0.756 0.500
0.744 0.244 0.500
0.756 0.744 0.500
```